(1)
A plane-wave DFT calculation with PBE was carried out for a geometry-optimized Y2BiRh structure.

E_form = -0.461 eV/atom
total magnetization = 0.00 Bohr magnetons per cell

Cell: 6.5780 6.5780 6.5780 Å, 105.14 105.14 118.53°
Element x y z (fractional)
Y (0.0738, 0.1250, 0.4488)
Y (0.3750, 0.9262, 0.0512)
Y (0.6762, 0.6250, 0.5512)
Y (0.8750, 0.3238, 0.9488)
Bi (0.2500, 0.7500, 0.5000)
Bi (0.5000, 0.5000, 0.0000)
Rh (0.0000, 0.0000, 0.0000)
Rh (0.7500, 0.2500, 0.5000)

***

(2)
A plane-wave DFT calculation with PBE was carried out for a geometry-optimized Y2BiRh2 structure.

E_form = -0.503 eV/atom
energy relative to the lowest polymorph listed for this composition = 234 meV per atom
total magnetization = 0.00 Bohr magnetons per cell

Cell: 8.5923 8.5923 8.5923 Å, 153.94 153.94 37.19°
Element x y z (fractional)
Y (0.1247, 0.1247, 0.0000)
Y (0.8753, 0.8753, 0.0000)
Bi (0.5000, 0.5000, 0.0000)
Rh (0.2500, 0.7500, 0.5000)
Rh (0.7500, 0.2500, 0.5000)

***

(3)
A plane-wave DFT calculation with PBE was carried out for a geometry-optimized Y3BiRh structure.

E_form = -0.604 eV/atom
energy relative to the lowest polymorph listed for this composition = 0 meV per atom
total magnetization = 0.00 Bohr magnetons per cell

Cell: 8.7787 8.7787 4.1530 Å, 90.00 90.00 111.72°
Element x y z (fractional)
Y (0.1701, 0.8299, 0.0000)
Y (0.1794, 0.4421, 0.5000)
Y (0.4421, 0.1794, 0.5000)
Y (0.5579, 0.8206, 0.5000)
Y (0.8206, 0.5579, 0.5000)
Y (0.8299, 0.1701, 0.0000)
Bi (0.0000, 0.0000, 0.5000)
Bi (0.5000, 0.5000, 0.0000)
Rh (0.0000, 0.5000, 0.0000)
Rh (0.5000, 0.0000, 0.0000)